## Al2VHAu (PBE)

Data for crystalline Al2VHAu at its relaxed geometry.

```
Al2VHAu
1.0
4.169 0.000 0.000
0.000 4.169 0.000
0.000 0.000 3.603
Al Au H V
2 1 1 1
Cartesian
0.000 2.084 0.000
2.084 0.000 0.000
2.084 2.084 1.801
0.000 0.000 0.000
0.000 0.000 1.801
```

* Fermi-level density of states: 0.551 states/eV/atom
* SG: P4/mmm (123)
* volume: 63 Å³ per cell
* total magnetic moment: 1.078 μB/cell
* uncorrected energy: -4.796 eV/atom

=====

## Zr2AlHAu (PBE)

Data for crystalline Zr2AlHAu at its relaxed geometry.

```
Zr2AlHAu
1.0
4.325 0.000 0.000
0.000 4.325 0.000
0.000 0.000 4.289
Au Zr Al H
1 2 1 1
Cartesian
0.000 0.000 2.145
2.162 0.000 0.000
0.000 2.162 0.000
2.162 2.162 2.145
0.000 0.000 0.000
```

* Fermi-level density of states: 0.393 states/eV/atom
* E above lowest polymorph: 0 meV/atom
* SG: P4/mmm (123)
* volume: 80 Å³ per cell
* total magnetic moment: 0.000 μB/cell

=====

## HfAl2Au (PBE)

Data for crystalline HfAl2Au at its relaxed geometry.

```
HfAl2Au
1.0
-1.672 -4.222 0.921
-4.403 -1.021 -1.019
-0.958 -2.920 -3.468
Al Au Hf
2 1 1
Cartesian
-1.758 -2.041 -0.892
-5.274 -6.122 -2.675
-3.516 -4.082 -1.784
0.000 0.000 0.000
```

* Fermi-level density of states: 0.997 states/eV/atom
* calculated formation energy: -0.15 eV per atom
* SG: Fm-3m (225)
* volume: 70 Å³ per cell
* total magnetic moment: 0.000 μB/cell

=====

## Hf3AlAu (PBE)

Data for crystalline Hf3AlAu at its relaxed geometry.

```
Hf3AlAu
1.0
5.088 0.000 0.000
0.000 5.088 0.000
0.000 0.000 5.088
Hf Al Au
3 1 1
Cartesian
0.000 0.000 2.544
2.544 0.000 0.000
0.000 2.544 0.000
2.544 2.544 2.544
0.000 0.000 0.000
```

* Fermi-level density of states: 0.339 states/eV/atom
* E above lowest polymorph: 962 meV/atom
* calculated formation energy: 0.64 eV per atom
* SG: Pm-3m (221)
* volume: 132 Å³ per cell
* total magnetic moment: 0.000 μB/cell

=====

- Number 1 is which compound?
  Al2VHAu

=====

- Which value of total magnetic moment does entry 4 give?
  0.000 μB/cell

=====

- volume of number 1 (Al2VHAu)?
  63 Å³ per cell